(1)
Below is CoAs2PbSe after structural relaxation, with properties calculated at the GGA-PBE level.

Cell lengths 4.448, 4.448, 5.330 Å; angles 90.00, 90.00, 90.00 degrees
Atoms (fractional coordinates):
Co1 0.000 0.000 0.000
Pb1 0.500 0.500 0.500
As1 0.000 0.500 0.000
Se1 0.000 0.000 0.500
As2 0.500 0.000 0.000

Theoretical density in g/cm³: 7.8
VASP energy in eV per atom: -4.540

=====

(2)
Below is CoAsPbSe2 after structural relaxation, with properties calculated at the GGA-PBE level.

Cell lengths 5.448, 5.448, 5.354 Å; angles 90.00, 90.00, 90.00 degrees
Site moments in Bohr magnetons follow the coordinates.
Atoms (fractional coordinates):
Se1 0.500 0.000 0.000  0.15
Se2 0.000 0.500 0.000  0.15
Pb1 0.000 0.000 0.000  0.00
As1 0.000 0.000 0.500  0.30
Co1 0.500 0.500 0.500  2.29

Theoretical density in g/cm³: 5.2
VASP energy in eV per atom: -3.169

=====

(3)
Below is CoAs2PbSe after structural relaxation, with properties calculated at the GGA-PBE level.

Cell lengths 5.393, 5.393, 5.433 Å; angles 90.00, 90.00, 90.00 degrees
Site moments in Bohr magnetons follow the coordinates.
Atoms (fractional coordinates):
Pb1 0.000 0.000 0.000  0.01
As1 0.000 0.500 0.000  0.20
Se1 0.000 0.000 0.500  0.08
As2 0.500 0.000 0.000  0.20
Co1 0.500 0.500 0.500  2.25

Theoretical density in g/cm³: 5.2
VASP energy in eV per atom: -3.218

=====

(4)
Below is Tl2CoAsPb after structural relaxation, with properties calculated at the GGA-PBE level.

Cell lengths 5.730, 4.365, 5.730 Å; angles 90.00, 90.00, 90.00 degrees
Site moments in Bohr magnetons follow the coordinates.
Atoms (fractional coordinates):
Co1 0.000 0.500 0.000  1.29
Pb1 0.500 0.500 0.500  -0.01
As1 0.000 0.000 0.000  0.01
Tl1 0.000 0.000 0.500  0.01
Tl2 0.500 0.000 0.000  0.01

Theoretical density in g/cm³: 8.7
Formation energy from the elements in meV/atom: 468
VASP energy in eV per atom: -3.572

=====

(5)
Below is Tl2CoAsPb after structural relaxation, with properties calculated at the GGA-PBE level.

Cell lengths 5.583, 5.593, 5.583 Å; angles 90.00, 90.00, 90.00 degrees
Site moments in Bohr magnetons follow the coordinates.
Atoms (fractional coordinates):
Tl1 0.000 0.000 0.500  -0.03
Co1 0.500 0.500 0.500  2.12
As1 0.000 0.000 0.000  -0.04
Pb1 0.000 0.500 0.000  -0.04
Tl2 0.500 0.000 0.000  -0.03

Theoretical density in g/cm³: 7.1
Formation energy from the elements in meV/atom: 1021
VASP energy in eV per atom: -3.018

=====

(6)
Below is CoAsPb2W after structural relaxation, with properties calculated at the GGA-PBE level.

Cell lengths 5.188, 4.356, 5.188 Å; angles 90.00, 90.00, 90.00 degrees
Site moments in Bohr magnetons follow the coordinates.
Atoms (fractional coordinates):
Pb1 0.500 0.000 0.000  0.01
Pb2 0.000 0.000 0.500  0.01
W1 0.500 0.500 0.500  2.80
Co1 0.000 0.000 0.000  0.20
As1 0.000 0.500 0.000  -0.02

Theoretical density in g/cm³: 10.4
Formation energy from the elements in meV/atom: 1170
VASP energy in eV per atom: -5.255

=====

(7)
Below is Co2AsPd after structural relaxation, with properties calculated at the GGA-PBE level.

Cell lengths 3.640, 3.640, 9.201 Å; angles 78.59, 78.59, 90.00 degrees
Site moments in Bohr magnetons follow the coordinates.
Atoms (fractional coordinates):
Pd1 0.750 0.250 0.500  0.07
Pd2 0.000 0.000 0.000  0.07
Co1 0.177 0.625 0.250  1.58
Co2 0.375 0.427 0.750  1.57
As1 0.500 0.500 0.000  -0.01
Co3 0.875 0.823 0.750  1.57
Co4 0.573 0.125 0.250  1.58
As2 0.250 0.750 0.500  -0.01

Theoretical density in g/cm³: 8.5
Formation energy from the elements in meV/atom: 268
VASP energy in eV per atom: -5.745

=====

(8)
Below is CoAs3Pd after structural relaxation, with properties calculated at the GGA-PBE level.

Cell lengths 4.530, 4.530, 4.530 Å; angles 90.00, 90.00, 90.00 degrees
Atoms (fractional coordinates):
As1 0.500 0.000 0.000
Co1 0.000 0.000 0.000
As2 0.000 0.000 0.500
As3 0.000 0.500 0.000
Pd1 0.500 0.500 0.500

Theoretical density in g/cm³: 7.0
Formation energy from the elements in meV/atom: 384
VASP energy in eV per atom: -4.866

=====

(9)
Below is CoAs2Pd2 after structural relaxation, with properties calculated at the GGA-PBE level.

Cell lengths 6.005, 6.005, 4.381 Å; angles 90.00, 90.00, 90.00 degrees
Atoms (fractional coordinates):
Pd1 0.221 0.721 0.500
As1 0.643 0.143 0.000
As2 0.357 0.857 0.000
Pd2 0.279 0.221 0.500
As3 0.143 0.357 0.000
As4 0.857 0.643 0.000
Pd3 0.779 0.279 0.500
Pd4 0.721 0.779 0.500
Co1 0.000 0.000 0.000
Co2 0.500 0.500 0.000

Theoretical density in g/cm³: 8.9
Formation energy from the elements in meV/atom: -139
VASP energy in eV per atom: -5.497

=====

(10)
Below is Co4As2Pd after structural relaxation, with properties calculated at the GGA-PBE level.

Cell lengths 4.499, 4.499, 6.869 Å; angles 70.88, 70.88, 90.00 degrees
Site moments in Bohr magnetons follow the coordinates.
Atoms (fractional coordinates):
Pd1 0.000 0.000 0.000  0.43
Co1 0.500 0.000 0.000  1.42
Co2 0.797 0.797 0.406  1.86
As1 0.611 0.611 0.778  -0.03
Co3 0.203 0.203 0.594  1.86
Co4 0.000 0.500 0.000  1.42
As2 0.389 0.389 0.222  -0.03

Theoretical density in g/cm³: 6.6
Formation energy from the elements in meV/atom: 920
VASP energy in eV per atom: -5.211

=====

(11)
Below is CoAs6Pd after structural relaxation, with properties calculated at the GGA-PBE level.

Cell lengths 7.416, 7.416, 7.332 Å; angles 109.37, 109.35, 110.15 degrees
Atoms (fractional coordinates):
As1 0.144 0.359 0.503
As2 0.848 0.338 0.186
As3 0.856 0.641 0.497
As4 0.502 0.862 0.662
Pd1 0.000 0.000 0.500
Pd2 0.500 0.500 0.500
Co1 0.500 0.000 0.000
As5 0.498 0.138 0.338
As6 0.200 0.840 0.338
As7 0.640 0.801 0.136
As8 0.360 0.199 0.864
As9 0.336 0.497 0.136
As10 0.664 0.503 0.864
As11 0.800 0.160 0.662
Co2 0.000 0.500 0.000
As12 0.152 0.662 0.814

Theoretical density in g/cm³: 6.6
Formation energy from the elements in meV/atom: -245
VASP energy in eV per atom: -5.270

=====

(12)
Below is CoAsPd after structural relaxation, with properties calculated at the GGA-PBE level.

Cell lengths 3.717, 6.197, 6.197 Å; angles 120.00, 90.00, 90.00 degrees
Atoms (fractional coordinates):
As1 0.500 0.000 0.000
Pd1 0.500 0.404 0.404
Pd2 0.500 0.596 0.000
Co1 0.000 0.255 0.000
As2 0.000 0.667 0.333
Co2 0.000 0.000 0.255
As3 0.000 0.333 0.667
Pd3 0.500 0.000 0.596
Co3 0.000 0.745 0.745

Theoretical density in g/cm³: 9.7
Formation energy from the elements in meV/atom: -289
VASP energy in eV per atom: -5.938

=====

(13)
Below is CoAsPd after structural relaxation, with properties calculated at the GGA-PBE level.

Cell lengths 3.729, 3.729, 6.251 Å; angles 90.00, 90.00, 90.00 degrees
Atoms (fractional coordinates):
As1 0.000 0.500 0.283
Pd1 0.000 0.000 0.000
Pd2 0.500 0.500 0.000
Co1 0.500 0.000 0.364
As2 0.500 0.000 0.717
Co2 0.000 0.500 0.636

Theoretical density in g/cm³: 9.2
Formation energy from the elements in meV/atom: -26
VASP energy in eV per atom: -5.676

=====

(14)
Below is CoAsPd2 after structural relaxation, with properties calculated at the GGA-PBE level.

Cell lengths 3.744, 3.744, 9.277 Å; angles 78.36, 78.36, 90.00 degrees
Site moments in Bohr magnetons follow the coordinates.
Atoms (fractional coordinates):
Co1 0.250 0.750 0.500  1.47
Pd1 0.624 0.125 0.250  0.07
Co2 0.500 0.500 0.000  1.48
Pd2 0.375 0.376 0.750  0.08
As1 0.000 0.000 0.000  -0.02
Pd3 0.875 0.874 0.750  0.08
Pd4 0.126 0.625 0.250  0.07
As2 0.750 0.250 0.500  -0.02

Theoretical density in g/cm³: 9.2
Formation energy from the elements in meV/atom: 127
VASP energy in eV per atom: -5.409

=====

(15)
Below is Pr2CoAs4Pd3 after structural relaxation, with properties calculated at the GGA-PBE level.

Cell lengths 4.320, 4.320, 10.259 Å; angles 90.00, 90.00, 90.00 degrees
Site moments in Bohr magnetons follow the coordinates.
Atoms (fractional coordinates):
As1 0.000 0.000 0.000  -0.01
As2 0.500 0.000 0.627  0.01
Pr1 0.500 0.000 0.256  -0.02
Pd1 0.500 0.000 0.869  -0.01
As3 0.000 0.500 0.373  0.01
Pd2 0.000 0.500 0.131  -0.01
As4 0.500 0.500 0.000  -0.01
Pd3 0.000 0.000 0.500  0.11
Co1 0.500 0.500 0.500  1.20
Pr2 0.000 0.500 0.744  -0.02

Theoretical density in g/cm³: 8.3
Formation energy from the elements in meV/atom: -794
VASP energy in eV per atom: -5.878

=====

(16)
Below is CoSb2AsPd after structural relaxation, with properties calculated at the GGA-PBE level.

Cell lengths 4.692, 4.998, 4.692 Å; angles 90.00, 90.00, 90.00 degrees
Atoms (fractional coordinates):
Co1 0.000 0.000 0.000
Sb1 0.000 0.000 0.500
As1 0.500 0.500 0.500
Pd1 0.000 0.500 0.000
Sb2 0.500 0.000 0.000

Theoretical density in g/cm³: 7.3
VASP energy in eV per atom: -4.552

=====

(17)
Below is CoAs2PdSe after structural relaxation, with properties calculated at the GGA-PBE level.

Cell lengths 5.039, 4.203, 5.039 Å; angles 90.00, 90.00, 90.00 degrees
Site moments in Bohr magnetons follow the coordinates.
Atoms (fractional coordinates):
As1 0.500 0.000 0.000  0.03
Co1 0.000 0.500 0.000  0.83
Pd1 0.500 0.500 0.500  -0.02
As2 0.000 0.000 0.500  -0.01
Se1 0.000 0.000 0.000  0.01

Theoretical density in g/cm³: 6.1
VASP energy in eV per atom: -4.097

=====

(18)
Below is CoAs2PdSe after structural relaxation, with properties calculated at the GGA-PBE level.

Cell lengths 4.392, 4.392, 5.012 Å; angles 90.00, 90.00, 90.00 degrees
Atoms (fractional coordinates):
As1 0.500 0.000 0.000
As2 0.000 0.500 0.000
Co1 0.000 0.000 0.000
Se1 0.000 0.000 0.500
Pd1 0.500 0.500 0.500

Theoretical density in g/cm³: 6.8
VASP energy in eV per atom: -4.618

=====

(19)
Below is CoAsPdSe2 after structural relaxation, with properties calculated at the GGA-PBE level.

Cell lengths 4.754, 4.754, 4.339 Å; angles 90.00, 90.00, 90.00 degrees
Atoms (fractional coordinates):
Pd1 0.500 0.500 0.500
Se1 0.500 0.000 0.000
Co1 0.000 0.000 0.000
Se2 0.000 0.500 0.000
As1 0.000 0.000 0.500

Theoretical density in g/cm³: 6.7
VASP energy in eV per atom: -4.341

=====

(20)
Below is CoSiAs2Pd after structural relaxation, with properties calculated at the GGA-PBE level.

Cell lengths 4.316, 5.040, 4.316 Å; angles 90.00, 90.00, 90.00 degrees
Atoms (fractional coordinates):
Pd1 0.000 0.500 0.000
Co1 0.000 0.000 0.000
As1 0.000 0.000 0.500
As2 0.500 0.000 0.000
Si1 0.500 0.500 0.500

Theoretical density in g/cm³: 6.1
VASP energy in eV per atom: -4.886

=====

(21)
Below is SrCoAsPd after structural relaxation, with properties calculated at the GGA-PBE level.

Cell lengths 3.909, 3.909, 10.721 Å; angles 90.00, 90.00, 90.00 degrees
Site moments in Bohr magnetons follow the coordinates.
Atoms (fractional coordinates):
Co1 0.750 0.250 0.000  0.41
Sr1 0.750 0.750 0.274  0.01
Co2 0.250 0.750 0.000  0.41
As1 0.250 0.250 0.119  0.00
Pd1 0.750 0.250 0.500  0.00
Sr2 0.250 0.250 0.726  0.01
As2 0.750 0.750 0.881  0.00
Pd2 0.250 0.750 0.500  0.00

Theoretical density in g/cm³: 6.6
Formation energy from the elements in meV/atom: -531
VASP energy in eV per atom: -5.189

=====

(22)
Below is SrCoAs2Pd after structural relaxation, with properties calculated at the GGA-PBE level.

Cell lengths 4.186, 4.186, 6.333 Å; angles 109.30, 109.30, 90.00 degrees
Site moments in Bohr magnetons follow the coordinates.
Atoms (fractional coordinates):
Pd1 0.750 0.250 0.500  0.14
Sr1 0.000 0.000 0.000  0.02
As1 0.368 0.368 0.736  0.03
Co1 0.250 0.750 0.500  1.33
As2 0.632 0.632 0.264  0.03

Theoretical density in g/cm³: 6.8
Formation energy from the elements in meV/atom: -613
VASP energy in eV per atom: -5.269

=====

(23)
Below is UCoAs2Pd2 after structural relaxation, with properties calculated at the GGA-PBE level.

Cell lengths 3.927, 6.691, 7.771 Å; angles 90.00, 90.00, 90.00 degrees
Site moments in Bohr magnetons follow the coordinates.
Atoms (fractional coordinates):
Co1 0.500 0.700 0.372  -0.51
As1 0.500 0.310 0.332  -0.03
U1 0.000 0.509 0.545  1.60
Pd1 0.000 0.827 0.877  0.01
As2 0.000 0.207 0.824  0.01
As3 0.500 0.810 0.668  -0.03
U2 0.000 0.009 0.455  1.60
As4 0.000 0.707 0.176  0.01
Pd2 0.500 0.492 0.867  0.02
Pd3 0.500 0.992 0.133  0.02
Co2 0.500 0.200 0.628  -0.51
Pd4 0.000 0.327 0.123  0.01

Theoretical density in g/cm³: 10.7
Formation energy from the elements in meV/atom: -421
VASP energy in eV per atom: -6.767

=====

(24)
Below is PmCoAs2 after structural relaxation, with properties calculated at the GGA-PBE level.

Cell lengths 3.977, 3.977, 10.175 Å; angles 101.27, 101.27, 89.99 degrees
Site moments in Bohr magnetons follow the coordinates.
Atoms (fractional coordinates):
As1 0.999 0.500 0.000  0.01
Pm1 0.119 0.119 0.239  0.02
Pm2 0.881 0.881 0.761  0.02
As2 0.500 0.999 0.000  0.01
Co1 0.750 0.250 0.500  0.62
As3 0.315 0.315 0.630  0.00
As4 0.685 0.685 0.370  0.00
Co2 0.250 0.750 0.500  0.62

Theoretical density in g/cm³: 7.6
Formation energy from the elements in meV/atom: -833
VASP energy in eV per atom: -6.122

=====

(25)
Below is Pm2CoAs after structural relaxation, with properties calculated at the GGA-PBE level.

Cell lengths 4.112, 4.112, 7.216 Å; angles 73.44, 73.44, 60.00 degrees
Site moments in Bohr magnetons follow the coordinates.
Atoms (fractional coordinates):
As1 0.000 0.000 0.000  0.01
Co1 0.500 0.500 0.500  0.21
Pm1 0.753 0.753 0.740  -0.03
Pm2 0.247 0.247 0.260  -0.03

Theoretical density in g/cm³: 7.1
Formation energy from the elements in meV/atom: -513
VASP energy in eV per atom: -5.827

=====

(26)
Below is PmCoAs2 after structural relaxation, with properties calculated at the GGA-PBE level.

Cell lengths 3.936, 4.431, 4.431 Å; angles 90.00, 90.00, 90.00 degrees
Site moments in Bohr magnetons follow the coordinates.
Atoms (fractional coordinates):
As1 0.000 0.500 0.000  -0.01
Pm1 0.500 0.500 0.500  -0.03
As2 0.000 0.000 0.500  -0.01
Co1 0.500 0.000 0.000  1.50

Theoretical density in g/cm³: 7.6
Formation energy from the elements in meV/atom: -289
VASP energy in eV per atom: -5.578